# CaYTm4 (PBE-GGA, relaxed)
data_CaYTm4
_chemical_formula_sum 'Ca1 Y1 Tm4'
_space_group_name_H-M_alt 'P 1'
_space_group_IT_number 1
_cell_length_a 6.575
_cell_length_b 6.575
_cell_length_c 6.575
_cell_angle_alpha 60.00
_cell_angle_beta 60.00
_cell_angle_gamma 60.00
loop_
_space_group_symop_operation_xyz
'x,y,z'
loop_
_atom_site_label
_atom_site_type_symbol
_atom_site_fract_x
_atom_site_fract_y
_atom_site_fract_z
Y1 Y 0.000 0.000 0.000
Ca1 Ca 0.250 0.250 0.250
Tm1 Tm 0.626 0.626 0.121
Tm2 Tm 0.626 0.121 0.626
Tm3 Tm 0.626 0.626 0.626
Tm4 Tm 0.121 0.626 0.626
# energy of formation: 211 meV per atom
# density: 6.6 Mg/m³
# magnetic moment: 0.000 μB/f.u.
# calculated total energy: -4.181 eV per atom
# symmetry: F-43m, No. 216